Record 1
DFT (SCAN) results for a crystal of IrOsRh2 relaxed with PBEsol.

SG: I4/mmm (139)
ΔH_f (0 K) (eV/atom): 0.0511

```
data_IrOsRh2
_cell_length_a 4.6667
_cell_length_b 4.6667
_cell_length_c 4.6667
_cell_angle_alpha 132.12
_cell_angle_beta 132.12
_cell_angle_gamma 70.04
_symmetry_space_group_name_H-M 'P 1'
_symmetry_Int_Tables_number 1
loop_
_symmetry_equiv_pos_as_xyz
'x,y,z'
loop_
_atom_site_label
_atom_site_type_symbol
_atom_site_fract_x
_atom_site_fract_y
_atom_site_fract_z
Ir1 Ir 0.0000 0.0000 0.0000
Os1 Os 0.5000 0.5000 0.0000
Rh1 Rh 0.2500 0.7500 0.5000
Rh2 Rh 0.7500 0.2500 0.5000
```

---

Record 2
DFT (SCAN) results for a crystal of IrOs2Rh relaxed with PBEsol.

SG: C2/m (12)
ΔH_f (0 K) (eV/atom): 0.0561

```
data_IrOs2Rh
_cell_length_a 4.6808
_cell_length_b 4.6808
_cell_length_c 4.6570
_cell_angle_alpha 99.53
_cell_angle_beta 99.53
_cell_angle_gamma 33.42
_symmetry_space_group_name_H-M 'P 1'
_symmetry_Int_Tables_number 1
loop_
_symmetry_equiv_pos_as_xyz
'x,y,z'
loop_
_atom_site_label
_atom_site_type_symbol
_atom_site_fract_x
_atom_site_fract_y
_atom_site_fract_z
Ir1 Ir 0.0000 0.0000 0.0000
Os1 Os 0.2513 0.2513 0.7507
Os2 Os 0.7487 0.7487 0.2493
Rh1 Rh 0.5000 0.5000 0.5000
```

---

Record 3
DFT (SCAN) results for a crystal of IrOs2Rh relaxed with PBEsol.

SG: Cmmm (65)
ΔH_f (0 K) (eV/atom): 0.0756

```
data_IrOs2Rh
_cell_length_a 4.6900
_cell_length_b 4.6900
_cell_length_c 2.6818
_cell_angle_alpha 90.00
_cell_angle_beta 90.00
_cell_angle_gamma 110.30
_symmetry_space_group_name_H-M 'P 1'
_symmetry_Int_Tables_number 1
loop_
_symmetry_equiv_pos_as_xyz
'x,y,z'
loop_
_atom_site_label
_atom_site_type_symbol
_atom_site_fract_x
_atom_site_fract_y
_atom_site_fract_z
Ir1 Ir 0.0000 0.0000 0.0000
Os1 Os 0.0000 0.5000 0.5000
Os2 Os 0.5000 0.0000 0.5000
Rh1 Rh 0.5000 0.5000 0.0000
```

---

Record 4
DFT (SCAN) results for a crystal of IrOs2Rh relaxed with PBEsol.

SG: Cm (8)
ΔH_f (0 K) (eV/atom): 0.0567

```
data_IrOs2Rh
_cell_length_a 4.6736
_cell_length_b 4.6736
_cell_length_c 4.6737
_cell_angle_alpha 99.40
_cell_angle_beta 99.40
_cell_angle_gamma 33.42
_symmetry_space_group_name_H-M 'P 1'
_symmetry_Int_Tables_number 1
loop_
_symmetry_equiv_pos_as_xyz
'x,y,z'
loop_
_atom_site_label
_atom_site_type_symbol
_atom_site_fract_x
_atom_site_fract_y
_atom_site_fract_z
Ir1 Ir 0.0000 0.0000 0.0000
Os1 Os 0.2526 0.2526 0.7507
Os2 Os 0.5057 0.5057 0.5060
Rh1 Rh 0.7552 0.7552 0.2560
```

---

Record 5
DFT (SCAN) results for a crystal of IrOsRh2 relaxed with PBEsol.

SG: C2/m (12)
ΔH_f (0 K) (eV/atom): 0.0184

```
data_IrOsRh2
_cell_length_a 4.6645
_cell_length_b 4.6645
_cell_length_c 4.6511
_cell_angle_alpha 99.46
_cell_angle_beta 99.46
_cell_angle_gamma 33.38
_symmetry_space_group_name_H-M 'P 1'
_symmetry_Int_Tables_number 1
loop_
_symmetry_equiv_pos_as_xyz
'x,y,z'
loop_
_atom_site_label
_atom_site_type_symbol
_atom_site_fract_x
_atom_site_fract_y
_atom_site_fract_z
Ir1 Ir 0.0000 0.0000 0.0000
Os1 Os 0.5000 0.5000 0.5000
Rh1 Rh 0.2492 0.2492 0.7469
Rh2 Rh 0.7508 0.7508 0.2531
```

---

Record 6
DFT (SCAN) results for a crystal of IrOs2Rh relaxed with PBEsol.

SG: Pmmm (47)
ΔH_f (0 K) (eV/atom): 0.0765

```
data_IrOs2Rh
_cell_length_a 2.6815
_cell_length_b 3.8493
_cell_length_c 5.3587
_cell_angle_alpha 90.00
_cell_angle_beta 90.00
_cell_angle_gamma 90.00
_symmetry_space_group_name_H-M 'P 1'
_symmetry_Int_Tables_number 1
loop_
_symmetry_equiv_pos_as_xyz
'x,y,z'
loop_
_atom_site_label
_atom_site_type_symbol
_atom_site_fract_x
_atom_site_fract_y
_atom_site_fract_z
Ir1 Ir 0.0000 0.0000 0.0000
Os1 Os 0.5000 0.5000 0.2512
Os2 Os 0.5000 0.5000 0.7488
Rh1 Rh 0.0000 0.0000 0.5000
```

---

Record 7
DFT (SCAN) results for a crystal of Ir2OsRh relaxed with PBEsol.

SG: I4/mmm (139)
ΔH_f (0 K) (eV/atom): 0.0099

```
data_Ir2OsRh
_cell_length_a 4.6710
_cell_length_b 4.6710
_cell_length_c 4.6710
_cell_angle_alpha 131.86
_cell_angle_beta 131.86
_cell_angle_gamma 70.45
_symmetry_space_group_name_H-M 'P 1'
_symmetry_Int_Tables_number 1
loop_
_symmetry_equiv_pos_as_xyz
'x,y,z'
loop_
_atom_site_label
_atom_site_type_symbol
_atom_site_fract_x
_atom_site_fract_y
_atom_site_fract_z
Ir1 Ir 0.2500 0.7500 0.5000
Ir2 Ir 0.7500 0.2500 0.5000
Os1 Os 0.0000 0.0000 0.0000
Rh1 Rh 0.5000 0.5000 0.0000
```

---

Record 8
DFT (SCAN) results for a crystal of IrOs2Rh relaxed with PBEsol.

SG: R-3m (166)
ΔH_f (0 K) (eV/atom): 0.0647

```
data_IrOs2Rh
_cell_length_a 8.9665
_cell_length_b 8.9665
_cell_length_c 8.9665
_cell_angle_alpha 17.26
_cell_angle_beta 17.26
_cell_angle_gamma 17.26
_symmetry_space_group_name_H-M 'P 1'
_symmetry_Int_Tables_number 1
loop_
_symmetry_equiv_pos_as_xyz
'x,y,z'
loop_
_atom_site_label
_atom_site_type_symbol
_atom_site_fract_x
_atom_site_fract_y
_atom_site_fract_z
Ir1 Ir 0.0000 0.0000 0.0000
Os1 Os 0.2498 0.2498 0.2498
Os2 Os 0.7502 0.7502 0.7502
Rh1 Rh 0.5000 0.5000 0.5000
```

---

no.,energy above the lowest structure with this stoichiometry (eV per atom)
1,0.0513
2,0.0130
3,0.0326
4,0.0137
5,0.0187
6,0.0335
7,0.0256
8,0.0217